Entry 1:
A plane-wave DFT calculation with PBE-GGA was carried out for a relaxed structure of TeS.

Cell and atoms, written as POSCAR:
```
TeS
1.0
-6.167 6.167 1.727
6.167 -6.167 1.727
6.167 6.167 -1.727
Te S
4 4
Cartesian
10.153 1.501 0.000
1.501 2.181 0.000
4.666 3.986 1.727
-3.986 4.666 1.727
3.679 1.500 0.000
4.667 -2.488 1.727
1.500 8.655 0.000
2.488 4.667 1.727
```

Entry 2:
A plane-wave DFT calculation with PBE-GGA was carried out for a relaxed structure of TeS.

Cell and atoms, written as POSCAR:
```
TeS
1.0
9.232 0.000 0.000
0.000 9.232 0.000
0.000 0.000 4.185
Te S
4 4
Cartesian
2.212 2.212 0.000
2.404 6.828 2.093
6.828 2.404 2.093
7.020 7.020 0.000
1.494 7.739 0.000
3.122 3.122 2.093
6.110 6.110 2.093
7.739 1.494 0.000
```

no.,calculated total energy (eV per atom),magnetization (μB per cell),formation energy from raw total energies (eV/f.u.)
1,-3.436,0.0,0.40
2,-3.302,0.0,0.67